Entry 1:
4
Lattice="2.915 0.000 0.000 0.000 3.252 0.000 -0.169 0.000 6.968" Properties=species:S:1:pos:R:3 comment="AlInPt2 | the Alexandria database | PBE | optimized geometry" final_energy_ev_per_atom=-5.34 dos_ef_per_ev_cell=1.17 pbc="T T T"
Al 0.000 0.000 0.000
In -0.085 0.000 3.484
Pt 1.275 1.626 5.492
Pt 1.471 1.626 1.475



Entry 2:
8
Lattice="7.372 0.000 0.000 0.000 4.226 0.000 -2.433 0.000 7.094" Properties=species:S:1:pos:R:3 comment="Y4SbTe2S | the Alexandria database | PBE | optimized geometry" dos_ef_per_ev_cell=3.63 e_form_raw_ev_per_atom=-1.4496 pbc="T T T"
Y 1.098 0.000 1.519
Y -0.140 2.113 5.498
Y 5.080 2.113 1.595
Y 3.842 0.000 5.575
Sb 3.686 0.000 0.000
Te -1.216 0.000 3.547
Te 2.470 2.113 3.547
S 0.000 2.113 0.000



Entry 3:
4
Lattice="3.193 0.000 0.000 0.000 3.193 0.000 0.000 0.000 7.602" Properties=species:S:1:pos:R:3 comment="Al2IrPb | the Alexandria database | PBE | optimized geometry" final_energy_ev_per_atom=-5.09 dos_ef_per_ev_cell=2.39 pbc="T T T"
Al 0.000 0.000 0.000
Al 1.596 1.596 1.674
Ir 0.000 0.000 2.805
Pb 1.596 1.596 5.021



Entry 4:
14
Lattice="0.000 12.040 3.212 5.935 0.000 3.212 5.935 12.040 0.000" Properties=species:S:1:pos:R:3 comment="Sm4YTm2 | the Alexandria database | PBE | optimized geometry" dos_ef_per_ev_cell=19.63 relative_energy_mev_per_atom=0 pbc="T T T"
Sm 2.136 2.562 1.412
Sm 5.103 3.458 3.018
Sm 3.799 9.478 1.412
Sm 6.570 10.337 3.212
Sm 5.300 13.744 3.212
Sm 8.267 16.357 4.818
Sm 6.767 20.622 3.018
Sm 9.538 19.764 4.818
Y 5.935 12.040 0.047
Y 2.967 6.020 1.653
Tm 6.239 6.844 2.836
Tm 8.599 12.864 4.442
Tm 5.631 17.236 2.836
Tm 3.271 11.216 4.442



Entry 5:
11
Lattice="3.562 -6.138 0.000 3.562 6.138 0.000 -2.368 0.000 6.800" Properties=species:S:1:pos:R:3 comment="Pr2Er3Se6 | the Alexandria database | PBE | optimized geometry" dos_ef_per_ev_cell=4.53 e_form_raw_ev_per_atom=-1.8579 pbc="T T T"
Pr 3.562 4.113 0.000
Pr 3.562 -4.113 0.000
Er -1.184 0.000 3.400
Er 2.378 2.039 3.400
Er 2.378 -2.039 3.400
Se 0.030 2.006 5.003
Se 1.250 0.000 1.775
Se 0.030 -2.006 5.003
Se 4.726 2.006 1.797
Se 3.506 0.000 5.025
Se 4.726 -2.006 1.797



Entry 6:
16
Lattice="6.478 0.000 0.000 0.000 8.055 4.637 0.000 -8.055 4.637" Properties=species:S:1:pos:R:3 comment="Nd5Sm5Sb6 | the Alexandria database | PBE | optimized geometry" dos_ef_per_ev_cell=17.06 e_form_raw_ev_per_atom=-0.9624 pbc="T T T"
Nd 0.000 0.000 0.000
Nd 1.620 -2.680 6.939
Nd 1.620 2.680 6.939
Nd 4.858 -2.680 6.939
Nd 4.858 2.680 6.939
Sm 0.000 -2.013 3.456
Sm 0.000 2.013 3.456
Sm 3.239 -6.040 5.779
Sm 3.239 0.000 4.599
Sm 3.239 6.040 5.779
Sb 0.000 -4.938 5.156
Sb 0.000 0.000 5.856
Sb 0.000 4.938 5.156
Sb 3.239 -3.098 4.085
Sb 3.239 3.098 4.085
Sb 3.239 0.000 8.005



Entry 7:
4
Lattice="4.462 -1.582 0.000 4.462 1.582 0.000 -1.704 0.000 3.570" Properties=species:S:1:pos:R:3 comment="FeNi2Se | the Alexandria database | PBE | optimized geometry" dos_ef_per_ev_cell=4.01 e_form_raw_ev_per_atom=0.1502 pbc="T T T"
Fe 0.000 0.000 0.000
Ni 0.826 0.000 2.619
Ni 6.393 0.000 0.951
Se 3.610 0.000 1.785



Entry 8:
4
Lattice="3.551 0.000 0.000 0.000 6.466 0.000 0.000 0.000 7.275" Properties=species:S:1:pos:R:3 comment="K2YMg | the Alexandria database | PBE | optimized geometry" final_energy_ev_per_atom=-2.09 dos_ef_per_ev_cell=4.93 pbc="T T T"
K 0.000 0.000 1.764
K 0.000 0.000 5.511
Y 1.775 3.233 3.638
Mg 1.775 3.233 0.000



Entry 9:
5
Lattice="5.019 0.000 0.000 0.000 5.019 0.000 0.000 0.000 5.019" Properties=species:S:1:pos:R:3 comment="ZnGa3Ag | the Alexandria database | PBE | optimized geometry" dos_ef_per_ev_cell=3.43 relative_energy_mev_per_atom=373 pbc="T T T"
Zn 0.000 0.000 0.000
Ga 0.000 2.509 2.509
Ga 2.509 0.000 2.509
Ga 2.509 2.509 0.000
Ag 2.509 2.509 2.509



Entry 10:
4
Lattice="0.000 3.452 3.452 3.452 0.000 3.452 3.452 3.452 0.000" Properties=species:S:1:pos:R:3 comment="Zr2ScW | the Alexandria database | PBE | optimized geometry" dos_ef_per_ev_cell=6.13 relative_energy_mev_per_atom=7 pbc="T T T"
Zr 1.726 1.726 1.726
Zr 5.178 5.178 5.178
Sc 0.000 0.000 0.000
W 3.452 3.452 3.452